# 1
# Te6PtBr2 (PBE, relaxed)
data_Te6PtBr2
_chemical_formula_sum 'Te6 Pt1 Br2'
_cell_length_a 4.886
_cell_length_b 8.587
_cell_length_c 8.952
_cell_angle_alpha 65.11
_cell_angle_beta 80.86
_cell_angle_gamma 84.36
_space_group_name_H-M_alt 'P 1'
_space_group_IT_number 1
loop_
_space_group_symop_operation_xyz
'x,y,z'
loop_
_atom_site_label
_atom_site_fract_x
_atom_site_fract_y
_atom_site_fract_z
_atom_site_occupancy
Te1 0.049 0.014 0.273 1
Te2 0.170 0.716 0.981 1
Te3 0.194 0.256 0.755 1
Te4 0.806 0.744 0.245 1
Te5 0.830 0.284 0.019 1
Te6 0.951 0.986 0.727 1
Pt1 0.000 0.500 0.500 1
Br1 0.330 0.387 0.328 1
Br2 0.670 0.613 0.672 1
# - size of the total moment (μB/cell) = 0.004
# - electronic total energy (eV per cell) = -29.18



# 2
# H12OsSN4O7 (PBE, relaxed)
data_H12OsSN4O7
_chemical_formula_sum 'H48 Os4 S4 N16 O28'
_cell_length_a 12.621
_cell_length_b 5.693
_cell_length_c 11.369
_cell_angle_alpha 90.00
_cell_angle_beta 97.25
_cell_angle_gamma 90.00
_space_group_name_H-M_alt 'P 1'
_space_group_IT_number 1
loop_
_space_group_symop_operation_xyz
'x,y,z'
loop_
_atom_site_label
_atom_site_fract_x
_atom_site_fract_y
_atom_site_fract_z
_atom_site_occupancy
H1 0.005 0.015 0.231 1
H2 0.005 0.485 0.731 1
H3 0.039 0.597 0.110 1
H4 0.039 0.903 0.610 1
H5 0.086 0.708 0.330 1
H6 0.086 0.792 0.830 1
H7 0.121 0.074 0.822 1
H8 0.121 0.426 0.322 1
H9 0.123 0.606 0.010 1
H10 0.123 0.894 0.510 1
H11 0.151 0.740 0.636 1
H12 0.151 0.760 0.136 1
H13 0.294 0.068 0.942 1
H14 0.294 0.432 0.442 1
H15 0.310 0.634 0.551 1
H16 0.310 0.866 0.051 1
H17 0.322 0.154 0.083 1
H18 0.322 0.346 0.583 1
H19 0.413 0.647 0.287 1
H20 0.413 0.853 0.787 1
H21 0.423 0.627 0.883 1
H22 0.423 0.873 0.383 1
H23 0.469 0.213 0.678 1
H24 0.469 0.287 0.178 1
H25 0.531 0.713 0.822 1
H26 0.531 0.787 0.322 1
H27 0.577 0.127 0.617 1
H28 0.577 0.373 0.117 1
H29 0.587 0.147 0.213 1
H30 0.587 0.353 0.713 1
H31 0.678 0.654 0.417 1
H32 0.678 0.846 0.917 1
H33 0.690 0.134 0.949 1
H34 0.690 0.366 0.449 1
H35 0.706 0.568 0.558 1
H36 0.706 0.932 0.058 1
H37 0.849 0.240 0.864 1
H38 0.849 0.260 0.364 1
H39 0.877 0.106 0.490 1
H40 0.877 0.394 0.990 1
H41 0.879 0.574 0.678 1
H42 0.879 0.926 0.178 1
H43 0.914 0.208 0.170 1
H44 0.914 0.292 0.670 1
H45 0.961 0.097 0.390 1
H46 0.961 0.403 0.890 1
H47 0.995 0.515 0.269 1
H48 0.995 0.985 0.769 1
Os1 0.000 0.000 0.000 1
Os2 0.000 0.500 0.500 1
Os3 0.500 0.000 0.000 1
Os4 0.500 0.500 0.500 1
S1 0.228 0.034 0.333 1
S2 0.228 0.466 0.833 1
S3 0.772 0.534 0.167 1
S4 0.772 0.966 0.667 1
N1 0.059 0.538 0.335 1
N2 0.059 0.962 0.835 1
N3 0.090 0.706 0.072 1
N4 0.090 0.794 0.572 1
N5 0.337 0.024 0.023 1
N6 0.337 0.476 0.523 1
N7 0.462 0.728 0.355 1
N8 0.462 0.772 0.855 1
N9 0.538 0.228 0.145 1
N10 0.538 0.272 0.645 1
N11 0.663 0.524 0.477 1
N12 0.663 0.976 0.977 1
N13 0.910 0.206 0.428 1
N14 0.910 0.294 0.928 1
N15 0.941 0.038 0.165 1
N16 0.941 0.462 0.665 1
O1 0.106 0.187 0.053 1
O2 0.106 0.313 0.553 1
O3 0.111 0.007 0.345 1
O4 0.111 0.493 0.845 1
O5 0.243 0.208 0.808 1
O6 0.243 0.292 0.308 1
O7 0.255 0.612 0.734 1
O8 0.255 0.888 0.234 1
O9 0.291 0.531 0.946 1
O10 0.291 0.969 0.446 1
O11 0.345 0.081 0.685 1
O12 0.345 0.419 0.185 1
O13 0.486 0.240 0.903 1
O14 0.486 0.260 0.403 1
O15 0.514 0.740 0.597 1
O16 0.514 0.760 0.097 1
O17 0.655 0.581 0.815 1
O18 0.655 0.919 0.315 1
O19 0.709 0.031 0.554 1
O20 0.709 0.469 0.054 1
O21 0.745 0.112 0.766 1
O22 0.745 0.388 0.266 1
O23 0.757 0.708 0.692 1
O24 0.757 0.792 0.192 1
O25 0.889 0.507 0.155 1
O26 0.889 0.993 0.655 1
O27 0.894 0.687 0.447 1
O28 0.894 0.813 0.947 1
# - size of the total moment (μB/cell) = 2.178
# - electronic total energy (eV per cell) = -548.76



# 3
# LiTbNd (PBE, relaxed)
data_LiTbNd
_chemical_formula_sum 'Li4 Tb4 Nd4'
_cell_length_a 7.220
_cell_length_b 7.220
_cell_length_c 7.220
_cell_angle_alpha 90.00
_cell_angle_beta 90.00
_cell_angle_gamma 90.00
_space_group_name_H-M_alt 'P 1'
_space_group_IT_number 1
loop_
_space_group_symop_operation_xyz
'x,y,z'
loop_
_atom_site_label
_atom_site_fract_x
_atom_site_fract_y
_atom_site_fract_z
_atom_site_occupancy
Li1 0.000 0.000 0.000 1
Li2 0.000 0.500 0.500 1
Li3 0.500 0.000 0.500 1
Li4 0.500 0.500 0.000 1
Tb1 0.250 0.250 0.250 1
Tb2 0.250 0.750 0.750 1
Tb3 0.750 0.250 0.750 1
Tb4 0.750 0.750 0.250 1
Nd1 0.250 0.250 0.750 1
Nd2 0.250 0.750 0.250 1
Nd3 0.750 0.250 0.250 1
Nd4 0.750 0.750 0.750 1
# - size of the total moment (μB/cell) = 6.026
# - electronic total energy (eV per cell) = -39.29



# 4
# LuTlAgAu (PBE, relaxed)
data_LuTlAgAu
_chemical_formula_sum 'Lu4 Tl4 Ag4 Au4'
_cell_length_a 6.985
_cell_length_b 6.985
_cell_length_c 6.985
_cell_angle_alpha 90.00
_cell_angle_beta 90.00
_cell_angle_gamma 90.00
_space_group_name_H-M_alt 'P 1'
_space_group_IT_number 1
loop_
_space_group_symop_operation_xyz
'x,y,z'
loop_
_atom_site_label
_atom_site_fract_x
_atom_site_fract_y
_atom_site_fract_z
_atom_site_occupancy
Lu1 0.000 0.000 0.000 1
Lu2 0.000 0.500 0.500 1
Lu3 0.500 0.000 0.500 1
Lu4 0.500 0.500 0.000 1
Tl1 0.250 0.250 0.750 1
Tl2 0.250 0.750 0.250 1
Tl3 0.750 0.250 0.250 1
Tl4 0.750 0.750 0.750 1
Ag1 0.000 0.000 0.500 1
Ag2 0.000 0.500 0.000 1
Ag3 0.500 0.000 0.000 1
Ag4 0.500 0.500 0.500 1
Au1 0.250 0.250 0.250 1
Au2 0.250 0.750 0.750 1
Au3 0.750 0.250 0.750 1
Au4 0.750 0.750 0.250 1
# - size of the total moment (μB/cell) = 0.003
# - relative energy among the computed polymorphs (meV/atom) = 29



# 5
# Y4AlCoC2 (PBE, relaxed)
data_Y4AlCoC2
_chemical_formula_sum 'Y4 Al1 Co1 C2'
_cell_length_a 3.580
_cell_length_b 3.580
_cell_length_c 14.824
_cell_angle_alpha 90.00
_cell_angle_beta 90.00
_cell_angle_gamma 120.00
_space_group_name_H-M_alt 'P 1'
_space_group_IT_number 1
loop_
_space_group_symop_operation_xyz
'x,y,z'
loop_
_atom_site_label
_atom_site_fract_x
_atom_site_fract_y
_atom_site_fract_z
_atom_site_occupancy
Y1 0.000 0.000 0.136 1
Y2 0.000 0.000 0.864 1
Y3 0.333 0.667 0.322 1
Y4 0.333 0.667 0.678 1
Al1 0.000 0.000 0.500 1
Co1 0.333 0.667 0.000 1
C1 0.667 0.333 0.233 1
C2 0.667 0.333 0.767 1
# - size of the total moment (μB/cell) = 1.288
# - electronic total energy (eV per cell) = -55.94



# 6
# BaMoW2 (PBE, relaxed)
data_BaMoW2
_chemical_formula_sum 'Ba4 Mo4 W8'
_cell_length_a 6.771
_cell_length_b 6.771
_cell_length_c 6.771
_cell_angle_alpha 90.00
_cell_angle_beta 90.00
_cell_angle_gamma 90.00
_space_group_name_H-M_alt 'P 1'
_space_group_IT_number 1
loop_
_space_group_symop_operation_xyz
'x,y,z'
loop_
_atom_site_label
_atom_site_fract_x
_atom_site_fract_y
_atom_site_fract_z
_atom_site_occupancy
Ba1 0.000 0.000 0.000 1
Ba2 0.000 0.500 0.500 1
Ba3 0.500 0.000 0.500 1
Ba4 0.500 0.500 0.000 1
Mo1 0.250 0.250 0.250 1
Mo2 0.250 0.750 0.750 1
Mo3 0.750 0.250 0.750 1
Mo4 0.750 0.750 0.250 1
W1 0.000 0.000 0.500 1
W2 0.000 0.500 0.000 1
W3 0.250 0.250 0.750 1
W4 0.250 0.750 0.250 1
W5 0.500 0.000 0.000 1
W6 0.500 0.500 0.500 1
W7 0.750 0.250 0.250 1
W8 0.750 0.750 0.750 1
# - size of the total moment (μB/cell) = 0.000
# - electronic total energy (eV per cell) = -132.04



# 7
# SrZnSO (PBE, relaxed)
data_SrZnSO
_chemical_formula_sum 'Sr4 Zn4 S4 O4'
_cell_length_a 3.822
_cell_length_b 12.483
_cell_length_c 5.913
_cell_angle_alpha 90.00
_cell_angle_beta 90.00
_cell_angle_gamma 90.00
_space_group_name_H-M_alt 'P 1'
_space_group_IT_number 1
loop_
_space_group_symop_operation_xyz
'x,y,z'
loop_
_atom_site_label
_atom_site_fract_x
_atom_site_fract_y
_atom_site_fract_z
_atom_site_occupancy
Sr1 0.000 0.102 0.250 1
Sr2 0.000 0.898 0.750 1
Sr3 0.500 0.398 0.750 1
Sr4 0.500 0.602 0.250 1
Zn1 0.000 0.393 0.250 1
Zn2 0.000 0.607 0.750 1
Zn3 0.500 0.107 0.750 1
Zn4 0.500 0.893 0.250 1
S1 0.000 0.206 0.750 1
S2 0.000 0.794 0.250 1
S3 0.500 0.294 0.250 1
S4 0.500 0.706 0.750 1
O1 0.000 0.500 0.000 1
O2 0.000 0.500 0.500 1
O3 0.500 0.000 0.000 1
O4 0.500 0.000 0.500 1
# - electronic total energy (eV per cell) = -76.52



# 8
# CoBi (PBE, relaxed)
data_CoBi
_chemical_formula_sum 'Co1 Bi1'
_cell_length_a 3.351
_cell_length_b 3.351
_cell_length_c 3.390
_cell_angle_alpha 90.00
_cell_angle_beta 90.00
_cell_angle_gamma 90.00
_space_group_name_H-M_alt 'P 1'
_space_group_IT_number 1
loop_
_space_group_symop_operation_xyz
'x,y,z'
loop_
_atom_site_label
_atom_site_fract_x
_atom_site_fract_y
_atom_site_fract_z
_atom_site_occupancy
Co1 0.000 0.000 0.000 1
Bi1 0.500 0.500 0.500 1
# - size of the total moment (μB/cell) = 1.181
# - electronic total energy (eV per cell) = -9.80



# 9
# TbPbAuSe2S (PBE, relaxed)
data_TbPbAuSe2S
_chemical_formula_sum 'Tb2 Pb2 Au2 Se4 S2'
_cell_length_a 7.192
_cell_length_b 7.192
_cell_length_c 10.371
_cell_angle_alpha 90.00
_cell_angle_beta 90.00
_cell_angle_gamma 146.80
_space_group_name_H-M_alt 'P 1'
_space_group_IT_number 1
loop_
_space_group_symop_operation_xyz
'x,y,z'
loop_
_atom_site_label
_atom_site_fract_x
_atom_site_fract_y
_atom_site_fract_z
_atom_site_occupancy
Tb1 0.000 0.000 0.000 1
Tb2 0.000 0.000 0.500 1
Pb1 0.250 0.750 0.750 1
Pb2 0.750 0.250 0.250 1
Au1 0.470 0.530 0.250 1
Au2 0.530 0.470 0.750 1
Se1 0.353 0.647 0.052 1
Se2 0.353 0.647 0.448 1
Se3 0.647 0.353 0.552 1
Se4 0.647 0.353 0.948 1
S1 0.084 0.916 0.250 1
S2 0.916 0.084 0.750 1
# - size of the total moment (μB/cell) = 0.016
# - electronic total energy (eV per cell) = -56.75



# 10
# DyNbFe (PBE, relaxed)
data_DyNbFe
_chemical_formula_sum 'Dy4 Nb4 Fe4'
_cell_length_a 6.227
_cell_length_b 6.227
_cell_length_c 6.227
_cell_angle_alpha 90.00
_cell_angle_beta 90.00
_cell_angle_gamma 90.00
_space_group_name_H-M_alt 'P 1'
_space_group_IT_number 1
loop_
_space_group_symop_operation_xyz
'x,y,z'
loop_
_atom_site_label
_atom_site_fract_x
_atom_site_fract_y
_atom_site_fract_z
_atom_site_occupancy
Dy1 0.000 0.000 0.000 1
Dy2 0.000 0.500 0.500 1
Dy3 0.500 0.000 0.500 1
Dy4 0.500 0.500 0.000 1
Nb1 0.000 0.000 0.500 1
Nb2 0.000 0.500 0.000 1
Nb3 0.500 0.000 0.000 1
Nb4 0.500 0.500 0.500 1
Fe1 0.250 0.250 0.250 1
Fe2 0.250 0.750 0.750 1
Fe3 0.750 0.250 0.750 1
Fe4 0.750 0.750 0.250 1
# - formation enthalpy at 0 K (meV/atom) = 396.0
# - size of the total moment (μB/cell) = 0.383
# - relative energy among the computed polymorphs (meV/atom) = 0